Crystalline Y2TeCl at its relaxed geometry, computed with PBE.

Mass density: 5.381 g cm⁻³
Formation energy from raw total energies: -1.217 eV/atom
ΔE to the lowest computed polymorph: 63 meV per atom
Fermi-level density of states: 6.62 states/eV per cell
Raw total energy: -45.57 eV for the cell shown

a b c (Å): 3.9576 3.9936 13.3119
angles (deg): 90.00 90.00 90.00
Last column: nearest neighbours and their distance in Å.
Atoms (fractional coordinates):
Y: 0.0000 0.0000 0.0000  4 Cl 2.99, 2 Te 3.01
Y: 0.0000 0.5000 0.2390  2 Cl 2.92, 4 Te 3.06
Y: 0.5000 0.0000 0.7390  2 Cl 2.92, 4 Te 3.06
Y: 0.5000 0.5000 0.5000  4 Cl 2.99, 2 Te 3.01
Te: 0.0000 0.5000 0.8304  6 Y 3.01-3.06
Te: 0.5000 0.0000 0.3304  6 Y 3.01-3.06
Cl: 0.0000 0.0000 0.5772  6 Y 2.92-2.99
Cl: 0.5000 0.5000 0.0772  6 Y 2.92-2.99